{
  "formula": "Cs2Nb4O11",
  "functional": "PBE",
  "state": "relaxed",
  "raw_formation_energy_ev_per_atom": -2.519,
  "m_tot_mub_per_atom": 0.0000,
  "spacegroup": "Pnna, No. 52",
  "cell": [[7.605, 0.000, 0.000], [0.000, 10.705, 0.000], [0.000, 0.000, 29.469]],
  "species": ["O", "O", "O", "O", "O", "O", "O", "O", "O", "O", "O", "O", "O", "O", "O", "O", "O", "O", "O", "O", "O", "O", "O", "O", "O", "O", "O", "O", "O", "O", "O", "O", "O", "O", "O", "O", "O", "O", "O", "O", "O", "O", "O", "O", "O", "O", "O", "O", "O", "O", "O", "O", "O", "O", "O", "O", "O", "O", "O", "O", "O", "O", "O", "O", "O", "O", "O", "O", "O", "O", "O", "O", "O", "O", "O", "O", "O", "O", "O", "O", "O", "O", "O", "O", "O", "O", "O", "O", "Nb", "Nb", "Nb", "Nb", "Nb", "Nb", "Nb", "Nb", "Nb", "Nb", "Nb", "Nb", "Nb", "Nb", "Nb", "Nb", "Nb", "Nb", "Nb", "Nb", "Nb", "Nb", "Nb", "Nb", "Nb", "Nb", "Nb", "Nb", "Nb", "Nb", "Nb", "Nb", "Cs", "Cs", "Cs", "Cs", "Cs", "Cs", "Cs", "Cs", "Cs", "Cs", "Cs", "Cs", "Cs", "Cs", "Cs", "Cs"],
  "frac_coords": [[0.936, 0.128, 0.234], [0.245, 0.812, 0.316], [0.066, 0.621, 0.363], [0.745, 0.188, 0.316], [0.062, 0.867, 0.400], [0.749, 0.950, 0.554], [0.048, 0.623, 0.000], [0.952, 0.123, 0.500], [0.249, 0.672, 0.448], [0.064, 0.625, 0.637], [0.562, 0.367, 0.100], [0.246, 0.436, 0.686], [0.434, 0.876, 0.767], [0.452, 0.877, 0.500], [0.254, 0.436, 0.314], [0.434, 0.621, 0.637], [0.249, 0.828, 0.052], [0.564, 0.128, 0.766], [0.434, 0.879, 0.863], [0.749, 0.550, 0.946], [0.939, 0.368, 0.101], [0.755, 0.312, 0.816], [0.452, 0.623, 0.000], [0.751, 0.950, 0.446], [0.255, 0.688, 0.816], [0.564, 0.375, 0.637], [0.751, 0.550, 0.054], [0.564, 0.372, 0.734], [0.254, 0.064, 0.186], [0.064, 0.875, 0.863], [0.934, 0.376, 0.733], [0.066, 0.879, 0.137], [0.754, 0.564, 0.314], [0.755, 0.188, 0.684], [0.438, 0.633, 0.900], [0.934, 0.121, 0.863], [0.548, 0.123, 0.500], [0.251, 0.672, 0.552], [0.548, 0.377, 0.000], [0.566, 0.376, 0.267], [0.249, 0.050, 0.554], [0.936, 0.375, 0.363], [0.566, 0.379, 0.363], [0.251, 0.828, 0.948], [0.952, 0.377, 0.000], [0.245, 0.688, 0.184], [0.746, 0.564, 0.686], [0.745, 0.312, 0.184], [0.938, 0.133, 0.600], [0.749, 0.328, 0.448], [0.754, 0.936, 0.186], [0.255, 0.812, 0.684], [0.566, 0.124, 0.233], [0.061, 0.868, 0.601], [0.066, 0.876, 0.233], [0.064, 0.872, 0.766], [0.064, 0.628, 0.734], [0.936, 0.372, 0.266], [0.566, 0.121, 0.137], [0.436, 0.875, 0.137], [0.436, 0.872, 0.234], [0.062, 0.633, 0.100], [0.438, 0.867, 0.600], [0.061, 0.632, 0.899], [0.048, 0.877, 0.500], [0.564, 0.125, 0.863], [0.936, 0.125, 0.137], [0.439, 0.868, 0.399], [0.751, 0.172, 0.948], [0.934, 0.124, 0.767], [0.934, 0.379, 0.637], [0.749, 0.172, 0.052], [0.066, 0.624, 0.267], [0.251, 0.450, 0.054], [0.561, 0.368, 0.899], [0.751, 0.328, 0.552], [0.434, 0.624, 0.733], [0.436, 0.628, 0.266], [0.939, 0.132, 0.399], [0.251, 0.050, 0.446], [0.561, 0.132, 0.601], [0.562, 0.133, 0.400], [0.249, 0.450, 0.946], [0.439, 0.632, 0.101], [0.938, 0.367, 0.900], [0.436, 0.625, 0.363], [0.246, 0.064, 0.814], [0.746, 0.936, 0.814], [0.237, 0.750, 0.250], [0.263, 0.750, 0.750], [0.996, 0.997, 0.562], [0.257, 0.761, 0.875], [0.257, 0.739, 0.625], [0.983, 0.513, 0.688], [0.743, 0.261, 0.375], [0.750, 0.229, 0.500], [0.483, 0.487, 0.688], [0.504, 0.503, 0.062], [0.004, 0.497, 0.062], [0.517, 0.513, 0.312], [0.496, 0.003, 0.562], [0.017, 0.487, 0.312], [0.243, 0.761, 0.125], [0.250, 0.729, 0.000], [0.243, 0.739, 0.375], [0.517, 0.987, 0.188], [0.496, 0.497, 0.938], [0.983, 0.987, 0.812], [0.757, 0.239, 0.875], [0.996, 0.503, 0.938], [0.757, 0.261, 0.625], [0.743, 0.239, 0.125], [0.483, 0.013, 0.812], [0.750, 0.271, 0.000], [0.017, 0.013, 0.188], [0.737, 0.250, 0.250], [0.763, 0.250, 0.750], [0.504, 0.997, 0.438], [0.004, 0.003, 0.438], [0.250, 0.771, 0.500], [0.248, 0.147, 0.923], [0.752, 0.647, 0.423], [0.742, 0.881, 0.694], [0.748, 0.853, 0.923], [0.742, 0.619, 0.806], [0.758, 0.619, 0.194], [0.258, 0.119, 0.306], [0.758, 0.881, 0.306], [0.242, 0.119, 0.694], [0.752, 0.853, 0.077], [0.242, 0.381, 0.806], [0.248, 0.353, 0.577], [0.748, 0.647, 0.577], [0.258, 0.381, 0.194], [0.252, 0.147, 0.077], [0.252, 0.353, 0.423]]
}

{
  "formula": "LiIr2Br",
  "functional": "PBE",
  "state": "relaxed",
  "raw_formation_energy_ev_per_atom": 0.100,
  "polymorph_energy_ev_per_fu": 0.00,
  "m_tot_mub_per_atom": 0.0000,
  "spacegroup": "Amm2, No. 38",
  "cell": [[3.828, 0.000, 0.000], [0.000, 2.827, 0.003], [0.000, 1.411, 7.100]],
  "species": ["Li", "Ir", "Ir", "Br"],
  "frac_coords": [[0.000, 0.565, 0.496], [0.500, 0.203, 0.219], [0.000, 0.764, 0.097], [0.500, 0.968, 0.688]]
}